[1]
# ZnNiAgPd, optimized geometry, DFT GGA-PBE
# Spin magnetization in μB per cell: 0.0
# Final energy in eV per atom: -3.814
data_ZnNiAgPd
_chemical_formula_sum 'Zn1 Ni1 Ag1 Pd1'
_cell_length_a 4.350
_cell_length_b 4.350
_cell_length_c 4.350
_cell_angle_alpha 60.00
_cell_angle_beta 60.00
_cell_angle_gamma 60.00
_space_group_name_H-M_alt 'P 1'
_space_group_IT_number 1
_space_group_name_Hall 'P 1'
loop_
_atom_site_label
_atom_site_type_symbol
_atom_site_fract_x
_atom_site_fract_y
_atom_site_fract_z
Pd1 Pd 0.250 0.250 0.250
Zn1 Zn 0.000 0.000 0.000
Ni1 Ni 0.750 0.750 0.750
Ag1 Ag 0.500 0.500 0.500

---

[2]
# CdReNO, optimized geometry, DFT GGA-PBE
# Spin magnetization in μB per cell: 0.0
# Polymorph energy (0 for the lowest one) in eV/atom: 0.0758
# Final energy in eV per atom: -6.852
data_CdReNO
_chemical_formula_sum 'Cd4 Re4 N4 O4'
_cell_length_a 5.567
_cell_length_b 8.020
_cell_length_c 4.898
_cell_angle_alpha 90.00
_cell_angle_beta 90.00
_cell_angle_gamma 90.00
_space_group_name_H-M_alt 'P 1'
_space_group_IT_number 1
_space_group_name_Hall 'P 1'
loop_
_atom_site_label
_atom_site_type_symbol
_atom_site_fract_x
_atom_site_fract_y
_atom_site_fract_z
Cd1 Cd 0.488 0.638 0.498
Cd2 Cd 0.012 0.638 0.998
Cd3 Cd 0.512 0.362 0.998
Cd4 Cd 0.988 0.362 0.498
Re1 Re 0.387 0.162 0.520
Re2 Re 0.113 0.162 0.020
Re3 Re 0.613 0.838 0.020
Re4 Re 0.887 0.838 0.520
N1 N 0.573 0.345 0.494
N2 N 0.427 0.655 0.994
N3 N 0.927 0.345 0.994
N4 N 0.073 0.655 0.494
O1 O 0.103 0.009 0.690
O2 O 0.897 0.991 0.190
O3 O 0.603 0.991 0.690
O4 O 0.397 0.009 0.190

---

[3]
# Hf3Zn2In2, optimized geometry, DFT GGA-PBE
# Spin magnetization in μB per cell: 0.0
# Final energy in eV per atom: -5.336
data_Hf3Zn2In2
_chemical_formula_sum 'Hf3 Zn2 In2'
_cell_length_a 8.290
_cell_length_b 8.290
_cell_length_c 8.290
_cell_angle_alpha 33.22
_cell_angle_beta 33.22
_cell_angle_gamma 33.22
_space_group_name_H-M_alt 'P 1'
_space_group_IT_number 1
_space_group_name_Hall 'P 1'
loop_
_atom_site_label
_atom_site_type_symbol
_atom_site_fract_x
_atom_site_fract_y
_atom_site_fract_z
Zn1 Zn 0.244 0.244 0.244
Zn2 Zn 0.755 0.755 0.755
Hf1 Hf 0.877 0.877 0.877
Hf2 Hf 0.623 0.623 0.623
Hf3 Hf 0.373 0.373 0.373
In1 In 0.009 0.009 0.009
In2 In 0.494 0.494 0.494

---

[4]
# La2Hg4Pb, optimized geometry, DFT GGA-PBE
# Spin magnetization in μB per cell: 0.6
# Final energy in eV per atom: -2.419
data_La2Hg4Pb
_chemical_formula_sum 'La2 Hg4 Pb1'
_cell_length_a 6.483
_cell_length_b 6.483
_cell_length_c 4.990
_cell_angle_alpha 90.00
_cell_angle_beta 90.00
_cell_angle_gamma 90.00
_space_group_name_H-M_alt 'P 1'
_space_group_IT_number 1
_space_group_name_Hall 'P 1'
loop_
_atom_site_label
_atom_site_type_symbol
_atom_site_fract_x
_atom_site_fract_y
_atom_site_fract_z
Hg1 Hg 0.258 0.258 0.503
Hg2 Hg 0.742 0.742 0.503
Hg3 Hg 0.258 0.742 0.497
Hg4 Hg 0.742 0.258 0.497
Pb1 Pb 0.000 0.000 0.000
La1 La 0.500 0.000 0.000
La2 La 0.000 0.500 0.000